Below is a PBEsol-optimized structure of MgNb3H, with properties calculated at the SCAN level.

Results
N(E_F), states/eV per atom: 0.930
Electronic total energy, eV/atom: -21.53

Cell lengths 4.200, 4.200, 4.200 Å; angles 90.00, 90.00, 90.00 degrees
Atoms (fractional coordinates):
Nb (0.000, 0.000, 0.500)
Nb (0.500, 0.000, 0.000)
Nb (0.000, 0.500, 0.000)
H (0.000, 0.000, 0.000)
Mg (0.500, 0.500, 0.500)